A geometry-optimized YMg3Pt structure, computed with GGA-PBEsol.

Results
- theoretical density (g/cm3) = 4.91
- V (Å³/atom) = 24.14
- energy of formation from the pure elements (eV per atom) = -0.22
- magnetization (μB/atom) = 0.000

a = 4.9423 Å, b = 4.9423 Å, c = 4.9423 Å
α = 90.00°, β = 90.00°, γ = 90.00°
Closest atoms and distances in Å follow each position.
Fractional positions:
Y 0.0000 0.0000 0.0000  12 Mg 3.49
Mg 0.0000 0.5000 0.5000  2 Pt 2.47
Mg 0.5000 0.0000 0.5000  2 Pt 2.47
Mg 0.5000 0.5000 0.0000  2 Pt 2.47
Pt 0.5000 0.5000 0.5000  6 Mg 2.47

A geometry-optimized YMg2Pt structure, computed with GGA-PBEsol.

Results
- theoretical density (g/cm3) = 6.78
- V (Å³/atom) = 20.37
- energy of formation from the pure elements (eV per atom) = -0.53
- magnetization (μB/atom) = 0.000

a = 4.0916 Å, b = 4.0916 Å, c = 4.8669 Å
α = 90.00°, β = 90.00°, γ = 90.00°
Closest atoms and distances in Å follow each position.
Fractional positions:
Y 0.0000 0.0000 0.0000  4 Pt 2.89, 8 Mg 3.18
Mg 0.0000 0.5000 0.5000  4 Mg 2.89, 4 Pt 3.18, 4 Y 3.18
Mg 0.5000 0.0000 0.5000  4 Mg 2.89, 4 Pt 3.18, 4 Y 3.18
Pt 0.5000 0.5000 0.0000  4 Y 2.89, 8 Mg 3.18

A geometry-optimized YMg2Pt structure, computed with GGA-PBEsol.

Results
- theoretical density (g/cm3) = 6.67
- V (Å³/atom) = 20.69
- energy of formation from the pure elements (eV per atom) = -0.41
- magnetization (μB/atom) = 0.000

a = 3.2515 Å, b = 3.2515 Å, c = 7.8265 Å
α = 90.00°, β = 90.00°, γ = 90.00°
Closest atoms and distances in Å follow each position.
Fractional positions:
Y 0.0000 0.0000 0.0000  4 Y 3.25, 8 Mg 3.36
Mg 0.5000 0.5000 0.3123  4 Pt 2.73, 1 Mg 2.94
Mg 0.5000 0.5000 0.6877  4 Pt 2.73, 1 Mg 2.94
Pt 0.0000 0.0000 0.5000  8 Mg 2.73

A geometry-optimized YMg2Pt structure, computed with GGA-PBEsol.

Results
- theoretical density (g/cm3) = 6.71
- V (Å³/atom) = 20.58
- energy of formation from the pure elements (eV per atom) = -0.20
- magnetization (μB/atom) = 0.000

a = 5.6097 Å, b = 5.6097 Å, c = 3.0111 Å
α = 90.00°, β = 90.00°, γ = 119.69°
Closest atoms and distances in Å follow each position.
Fractional positions:
Y 0.0000 0.0000 0.0000  2 Pt 2.82, 2 Y 3.01
Mg 0.0000 0.5000 0.5000  4 Mg 2.82-3.01
Mg 0.5000 0.0000 0.5000  4 Mg 2.82-3.01
Pt 0.5000 0.5000 0.0000  2 Y 2.82, 2 Pt 3.01

A geometry-optimized YMg2Pt2 structure, computed with GGA-PBEsol.

Results
- theoretical density (g/cm3) = 8.98
- V (Å³/atom) = 19.52
- energy of formation from the pure elements (eV per atom) = -0.82
- magnetization (μB/atom) = 0.000

a = 6.8238 Å, b = 6.8238 Å, c = 6.8238 Å
α = 146.27°, β = 146.27°, γ = 48.45°
Closest atoms and distances in Å follow each position.
Fractional positions:
Y 0.0000 0.0000 0.0000  8 Pt 3.10
Mg 0.2500 0.7500 0.5000  4 Pt 2.67, 4 Mg 2.80
Mg 0.7500 0.2500 0.5000  4 Pt 2.67, 4 Mg 2.80
Pt 0.3941 0.3941 0.0000  1 Pt 2.64, 4 Mg 2.67
Pt 0.6059 0.6059 0.0000  1 Pt 2.64, 4 Mg 2.67

A geometry-optimized Mg2ZnPt structure, computed with GGA-PBEsol.

Results
- theoretical density (g/cm3) = 7.78
- V (Å³/atom) = 16.49
- energy of formation from the pure elements (eV per atom) = -0.45
- magnetization (μB/atom) = 0.000

a = 5.1766 Å, b = 5.1766 Å, c = 4.6724 Å
α = 107.94°, β = 107.94°, γ = 33.81°
Closest atoms and distances in Å follow each position.
Fractional positions:
Mg 0.0000 0.0000 0.0000  4 Pt 2.77-2.82, 3 Zn 2.83-2.85, 3 Mg 3.01-3.03
Mg 0.2123 0.2123 0.6547  3 Pt 2.72-2.91, 4 Zn 2.78-2.85, 3 Mg 3.01-3.03
Zn 0.7577 0.7577 0.1951  2 Pt 2.59, 7 Mg 2.78-2.85
Pt 0.4703 0.4703 0.4862  2 Zn 2.59, 6 Mg 2.72-2.82

A geometry-optimized Mg2ZnPt structure, computed with GGA-PBEsol.

Results
- theoretical density (g/cm3) = 8.13
- V (Å³/atom) = 15.78
- energy of formation from the pure elements (eV per atom) = -0.46
- magnetization (μB/atom) = 0.000

a = 4.4688 Å, b = 4.4688 Å, c = 4.4688 Å
α = 60.00°, β = 60.00°, γ = 60.00°
Closest atoms and distances in Å follow each position.
Fractional positions:
Mg 0.0000 0.0000 0.0000  4 Mg 2.74, 4 Pt 2.74
Mg 0.2500 0.2500 0.2500  4 Mg 2.74, 4 Zn 2.74
Zn 0.5000 0.5000 0.5000  4 Pt 2.74, 4 Mg 2.74
Pt 0.7500 0.7500 0.7500  4 Zn 2.74, 4 Mg 2.74

A geometry-optimized MgZn2Pt structure, computed with GGA-PBEsol.

Results
- theoretical density (g/cm3) = 9.88
- V (Å³/atom) = 14.71
- energy of formation from the pure elements (eV per atom) = -0.46
- magnetization (μB/atom) = 0.000

a = 4.8378 Å, b = 4.8378 Å, c = 4.8378 Å
α = 133.34°, β = 133.34°, γ = 68.12°
Closest atoms and distances in Å follow each position.
Fractional positions:
Mg 0.0000 0.0000 0.0000  8 Zn 2.71-2.77, 4 Pt 2.77
Zn 0.2500 0.7500 0.5000  4 Pt 2.71, 4 Zn 2.77, 4 Mg 2.77
Zn 0.5000 0.5000 0.0000  4 Mg 2.71, 4 Pt 2.77, 4 Zn 2.77
Pt 0.7500 0.2500 0.5000  8 Zn 2.71-2.77, 4 Mg 2.77

A geometry-optimized MgZnPt structure, computed with GGA-PBEsol.

Results
- theoretical density (g/cm3) = 10.31
- V (Å³/atom) = 15.29
- energy of formation from the pure elements (eV per atom) = -0.52
- magnetization (μB/atom) = 0.000

a = 4.8809 Å, b = 4.8809 Å, c = 4.8809 Å
α = 140.91°, β = 140.91°, γ = 56.47°
Closest atoms and distances in Å follow each position.
Fractional positions:
Mg 0.0000 0.0000 0.0000  5 Pt 2.73-2.85, 5 Zn 2.75-2.78
Zn 0.3193 0.3193 0.0000  4 Pt 2.65, 5 Mg 2.75-2.78
Pt 0.6685 0.6685 0.0000  4 Zn 2.65, 5 Mg 2.73-2.85

A geometry-optimized Mg2ZnPt structure, computed with GGA-PBEsol.

Results
- theoretical density (g/cm3) = 8.02
- V (Å³/atom) = 16.00
- energy of formation from the pure elements (eV per atom) = -0.47
- magnetization (μB/atom) = 0.000

a = 4.2251 Å, b = 4.2251 Å, c = 3.5842 Å
α = 90.00°, β = 90.00°, γ = 90.00°
Closest atoms and distances in Å follow each position.
Fractional positions:
Mg 0.0000 0.5000 0.0000  4 Pt 2.77, 4 Zn 2.77, 4 Mg 2.99
Mg 0.5000 0.0000 0.0000  4 Pt 2.77, 4 Zn 2.77, 4 Mg 2.99
Zn 0.0000 0.0000 0.5000  8 Mg 2.77, 4 Pt 2.99
Pt 0.5000 0.5000 0.5000  8 Mg 2.77, 4 Zn 2.99

A geometry-optimized Mg2ZnPt structure, computed with GGA-PBEsol.

Results
- theoretical density (g/cm3) = 7.73
- V (Å³/atom) = 16.60
- energy of formation from the pure elements (eV per atom) = -0.47
- magnetization (μB/atom) = 0.000

a = 2.9451 Å, b = 4.3584 Å, c = 5.3677 Å
α = 90.00°, β = 105.53°, γ = 90.00°
Closest atoms and distances in Å follow each position.
Fractional positions:
Mg 0.0000 0.0000 0.0000  3 Zn 2.78-2.81, 4 Pt 2.79-2.80, 2 Mg 2.95
Mg 0.3202 0.5000 0.6488  3 Pt 2.77-2.82, 4 Zn 2.81, 2 Mg 2.95
Zn 0.7249 0.0000 0.4571  2 Pt 2.60, 7 Mg 2.78-2.81
Pt 0.5919 0.5000 0.1835  2 Zn 2.60, 7 Mg 2.77-2.82

A geometry-optimized MgZnPt structure, computed with GGA-PBEsol.

Results
- theoretical density (g/cm3) = 10.10
- V (Å³/atom) = 15.61
- energy of formation from the pure elements (eV per atom) = -0.57
- magnetization (μB/atom) = 0.000

a = 4.3488 Å, b = 4.3488 Å, c = 2.8588 Å
α = 90.00°, β = 90.00°, γ = 120.00°
Closest atoms and distances in Å follow each position.
Fractional positions:
Mg 0.0000 0.0000 0.0000  2 Mg 2.86, 6 Zn 2.89, 6 Pt 2.89
Zn 0.6667 0.3333 0.5000  3 Pt 2.51
Pt 0.3333 0.6667 0.5000  3 Zn 2.51

A geometry-optimized MgZn2Pt structure, computed with GGA-PBEsol.

Results
- theoretical density (g/cm3) = 9.86
- V (Å³/atom) = 14.75
- energy of formation from the pure elements (eV per atom) = -0.43
- magnetization (μB/atom) = 0.000

a = 3.8501 Å, b = 3.8501 Å, c = 3.9800 Å
α = 90.00°, β = 90.00°, γ = 90.00°
Closest atoms and distances in Å follow each position.
Fractional positions:
Mg 0.0000 0.0000 0.0000  4 Pt 2.72, 8 Zn 2.77
Zn 0.0000 0.5000 0.5000  4 Zn 2.72, 4 Pt 2.77, 4 Mg 2.77
Zn 0.5000 0.0000 0.5000  4 Zn 2.72, 4 Pt 2.77, 4 Mg 2.77
Pt 0.5000 0.5000 0.0000  4 Mg 2.72, 8 Zn 2.77

A geometry-optimized Mg2ZnPt structure, computed with GGA-PBEsol.

Results
- theoretical density (g/cm3) = 8.13
- V (Å³/atom) = 15.79
- energy of formation from the pure elements (eV per atom) = -0.50
- magnetization (μB/atom) = 0.000

a = 4.9453 Å, b = 4.9453 Å, c = 4.9453 Å
α = 133.19°, β = 133.19°, γ = 68.35°
Closest atoms and distances in Å follow each position.
Fractional positions:
Mg 0.0000 0.0000 0.0000  4 Pt 2.78, 4 Mg 2.84, 4 Zn 2.84
Mg 0.7500 0.2500 0.5000  4 Zn 2.78, 4 Pt 2.84, 4 Mg 2.84
Zn 0.2500 0.7500 0.5000  8 Mg 2.78-2.84, 4 Pt 2.84
Pt 0.5000 0.5000 0.0000  8 Mg 2.78-2.84, 4 Zn 2.84

A geometry-optimized Mg2ZnPt structure, computed with GGA-PBEsol.

Results
- theoretical density (g/cm3) = 7.93
- V (Å³/atom) = 16.18
- energy of formation from the pure elements (eV per atom) = -0.47
- magnetization (μB/atom) = 0.000

a = 3.0243 Å, b = 3.4562 Å, c = 6.1933 Å
α = 90.00°, β = 90.00°, γ = 90.00°
Closest atoms and distances in Å follow each position.
Fractional positions:
Mg 0.0000 0.0000 0.2368  4 Pt 2.72, 4 Zn 2.82, 3 Mg 2.93-3.02
Mg 0.0000 0.0000 0.7632  4 Pt 2.72, 4 Zn 2.82, 3 Mg 2.93-3.02
Zn 0.5000 0.5000 0.5000  8 Mg 2.82, 2 Zn 3.02, 2 Pt 3.10
Pt 0.5000 0.5000 0.0000  8 Mg 2.72, 2 Pt 3.02

A geometry-optimized MgZnPt structure, computed with GGA-PBEsol.

Results
- theoretical density (g/cm3) = 9.10
- V (Å³/atom) = 17.33
- energy of formation from the pure elements (eV per atom) = -0.31
- magnetization (μB/atom) = 0.000

a = 4.1891 Å, b = 4.1891 Å, c = 4.1891 Å
α = 60.00°, β = 60.00°, γ = 60.00°
Closest atoms and distances in Å follow each position.
Fractional positions:
Mg 0.0000 0.0000 0.0000  4 Zn 2.57
Zn 0.7500 0.7500 0.7500  4 Mg 2.57, 4 Pt 2.57
Pt 0.5000 0.5000 0.5000  4 Zn 2.57

A geometry-optimized MgZn2Pt structure, computed with GGA-PBEsol.

Results
- theoretical density (g/cm3) = 9.99
- V (Å³/atom) = 14.55
- energy of formation from the pure elements (eV per atom) = -0.50
- magnetization (μB/atom) = 0.000

a = 4.7946 Å, b = 4.7946 Å, c = 4.7946 Å
α = 132.82°, β = 132.82°, γ = 68.93°
Closest atoms and distances in Å follow each position.
Fractional positions:
Mg 0.0000 0.0000 0.0000  4 Pt 2.71, 8 Zn 2.75
Zn 0.2500 0.7500 0.5000  4 Zn 2.71, 4 Pt 2.75, 4 Mg 2.75
Zn 0.7500 0.2500 0.5000  4 Zn 2.71, 4 Pt 2.75, 4 Mg 2.75
Pt 0.5000 0.5000 0.0000  4 Mg 2.71, 8 Zn 2.75

A geometry-optimized MgZnPt structure, computed with GGA-PBEsol.

Results
- theoretical density (g/cm3) = 10.45
- V (Å³/atom) = 15.08
- energy of formation from the pure elements (eV per atom) = -0.56
- magnetization (μB/atom) = 0.000

a = 4.8182 Å, b = 4.8182 Å, c = 4.8182 Å
α = 145.40°, β = 134.05°, γ = 58.77°
Closest atoms and distances in Å follow each position.
Fractional positions:
Mg 0.0000 0.0000 0.0000  5 Zn 2.70-2.80, 5 Pt 2.75-2.80, 2 Mg 2.87
Zn 0.3213 0.3213 0.0000  5 Mg 2.70-2.80, 5 Pt 2.70-2.90, 2 Zn 2.87
Pt 0.6662 0.6662 0.0000  5 Zn 2.70-2.90, 5 Mg 2.75-2.80, 2 Pt 2.87

A geometry-optimized MgZrPt structure, computed with GGA-PBEsol.

Results
- theoretical density (g/cm3) = 8.08
- V (Å³/atom) = 21.29
- energy of formation from the pure elements (eV per atom) = 0.04
- magnetization (μB/atom) = 0.000

a = 4.4869 Å, b = 4.4869 Å, c = 4.4869 Å
α = 60.00°, β = 60.00°, γ = 60.00°
Closest atoms and distances in Å follow each position.
Fractional positions:
Mg 0.0000 0.0000 0.0000  4 Zr 2.75
Zr 0.7500 0.7500 0.7500  4 Pt 2.75, 4 Mg 2.75
Pt 0.5000 0.5000 0.5000  4 Zr 2.75

A geometry-optimized MgZrPt structure, computed with GGA-PBEsol.

Results
- theoretical density (g/cm3) = 9.17
- V (Å³/atom) = 18.76
- energy of formation from the pure elements (eV per atom) = -0.56
- magnetization (μB/atom) = 0.000

a = 6.0136 Å, b = 6.0136 Å, c = 6.0136 Å
α = 149.38°, β = 149.38°, γ = 43.86°
Closest atoms and distances in Å follow each position.
Fractional positions:
Mg 0.0000 0.0000 0.0000  4 Pt 2.77
Zr 0.7069 0.7069 0.0000  4 Pt 2.78
Pt 0.3544 0.3544 0.0000  4 Mg 2.77, 4 Zr 2.78